Entry 1:
## Ce2MnAl (PBE)

Data for a geometry-optimized Ce2MnAl structure.

a = 5.6432 Å, b = 5.9925 Å, c = 11.5536 Å
α = 90.00°, β = 117.40°, γ = 90.00°
Last column: nearest neighbours and their distance in Å.
Sites, in units of the cell vectors:
Ce 0.0470 0.2373 0.1056  1 Mn 2.68, 1 Ce 2.95
Ce 0.0470 0.2627 0.6056  1 Mn 2.68, 1 Ce 2.95
Ce 0.3512 0.1957 0.3917  1 Mn 2.16
Ce 0.3512 0.3043 0.8917  1 Mn 2.16
Ce 0.6488 0.6957 0.1083  1 Mn 2.16
Ce 0.6488 0.8043 0.6083  1 Mn 2.16
Ce 0.9530 0.7373 0.3944  1 Mn 2.68, 1 Ce 2.95
Ce 0.9530 0.7627 0.8944  1 Mn 2.68, 1 Ce 2.95
Mn 0.4500 0.0087 0.0998  1 Ce 2.16
Mn 0.4500 0.4913 0.5998  1 Ce 2.16
Mn 0.5500 0.5087 0.4002  1 Ce 2.16
Mn 0.5500 0.9913 0.9002  1 Ce 2.16
Al 0.2656 0.7418 0.7191  2 Mn 2.47-2.56
Al 0.2656 0.7582 0.2191  2 Mn 2.47-2.56
Al 0.7344 0.2418 0.7809  2 Mn 2.47-2.56
Al 0.7344 0.2582 0.2809  2 Mn 2.47-2.56

Values from the calculation:
The formation enthalpy at 0 K comes out at -0.1085 eV per atom. The calculation puts the total magnetization at 0.00 μB per formula unit. The energy above the most stable polymorph in this dataset comes out at 0.0000 eV/atom.

Entry 2:
## CeMnAl2 (PBE)

Data for a geometry-optimized CeMnAl2 structure.

a = 9.8902 Å, b = 9.8902 Å, c = 9.8902 Å
α = 16.80°, β = 16.80°, γ = 16.80°
Last column: nearest neighbours and their distance in Å.
Sites, in units of the cell vectors:
Ce 0.0000 0.0000 0.0000  6 Ce 2.89
Mn 0.5000 0.5000 0.5000  6 Al 2.64, 6 Mn 2.89
Al 0.2365 0.2365 0.2365  3 Mn 2.64, 6 Al 2.89
Al 0.7635 0.7635 0.7635  3 Mn 2.64, 6 Al 2.89

Values from the calculation:
The formation enthalpy at 0 K comes out at -0.0404 eV per atom. The calculation puts the total magnetization at 2.69 μB per formula unit.

Entry 3:
## CeMnAl4 (PBE)

Data for a geometry-optimized CeMnAl4 structure.

a = 8.3099 Å, b = 8.3099 Å, c = 8.3099 Å
α = 146.28°, β = 134.47°, γ = 57.84°
Last column: nearest neighbours and their distance in Å.
Sites, in units of the cell vectors:
Ce 0.2119 0.2119 0.0000  12 Al 3.15-3.34
Ce 0.7881 0.7881 0.0000  12 Al 3.15-3.34
Mn 0.5000 0.2730 0.7730  1 Mn 2.19, 2 Al 2.40
Mn 0.5000 0.7270 0.2270  1 Mn 2.19, 2 Al 2.40
Al 0.1260 0.3959 0.7301  2 Mn 2.55
Al 0.1880 0.0000 0.1880  2 Mn 2.40, 1 Al 2.42
Al 0.3342 0.6041 0.7301  2 Mn 2.55
Al 0.3510 0.8510 0.5000  2 Mn 2.54
Al 0.6490 0.1490 0.5000  2 Mn 2.54
Al 0.6658 0.3959 0.2699  2 Mn 2.55
Al 0.8120 0.0000 0.8120  2 Mn 2.40, 1 Al 2.42
Al 0.8740 0.6041 0.2699  2 Mn 2.55

Values from the calculation:
The formation enthalpy at 0 K comes out at -0.2080 eV per atom. The calculation puts the total magnetization at 0.22 μB per formula unit.

Entry 4:
## CeMnAl (PBE)

Data for a geometry-optimized CeMnAl structure.

a = 5.3817 Å, b = 5.3817 Å, c = 5.3817 Å
α = 119.36°, β = 118.22°, γ = 92.11°
Last column: nearest neighbours and their distance in Å.
Sites, in units of the cell vectors:
Ce 0.3924 0.1424 0.2500  6 Mn 3.01-3.23, 2 Ce 3.16, 6 Al 3.18-3.23
Ce 0.6076 0.8576 0.7500  6 Mn 3.01-3.23, 2 Ce 3.16, 6 Al 3.18-3.23
Mn 0.0000 0.5000 0.5000  4 Al 2.69, 2 Mn 2.76, 2 Ce 3.01
Mn 0.5000 0.5000 0.0000  4 Al 2.69, 2 Mn 2.76, 2 Ce 3.01
Al 0.0000 0.0000 0.5000  4 Mn 2.69, 2 Al 2.72
Al 0.0000 0.5000 0.0000  4 Mn 2.69, 2 Al 2.72

Values from the calculation:
The formation enthalpy at 0 K comes out at -0.2023 eV per atom. The calculation puts the total magnetization at 1.99 μB per formula unit.

Entry 5:
## CeMnAl (PBE)

Data for a geometry-optimized CeMnAl structure.

a = 2.9146 Å, b = 5.8794 Å, c = 6.8303 Å
α = 71.62°, β = 87.71°, γ = 75.87°
Last column: nearest neighbours and their distance in Å.
Sites, in units of the cell vectors:
Ce 0.0977 0.1894 0.1619  1 Mn 2.17
Ce 0.9023 0.8106 0.8381  1 Mn 2.17
Mn 0.1651 0.2005 0.4739  1 Ce 2.17
Mn 0.8349 0.7995 0.5261  1 Ce 2.17
Al 0.4471 0.6119 0.2963  4 Mn 2.60-2.75, 1 Al 2.67
Al 0.5529 0.3881 0.7037  4 Mn 2.60-2.75, 1 Al 2.67

Values from the calculation:
The formation enthalpy at 0 K comes out at -0.1271 eV per atom. The calculation puts the total magnetization at 0.00 μB per formula unit.

Entry 6:
## Ce2MnAl (PBE)

Data for a geometry-optimized Ce2MnAl structure.

a = 4.3367 Å, b = 4.3367 Å, c = 4.5311 Å
α = 90.00°, β = 90.00°, γ = 90.00°
Last column: nearest neighbours and their distance in Å.
Sites, in units of the cell vectors:
Ce 0.0000 0.5000 0.0000  4 Ce 3.07, 4 Mn 3.14, 4 Al 3.14
Ce 0.5000 0.0000 0.0000  4 Ce 3.07, 4 Mn 3.14, 4 Al 3.14
Mn 0.0000 0.0000 0.5000  4 Al 3.07, 8 Ce 3.14
Al 0.5000 0.5000 0.5000  4 Mn 3.07, 8 Ce 3.14

Values from the calculation:
The formation enthalpy at 0 K comes out at -0.0657 eV per atom. The calculation puts the total magnetization at 1.80 μB per formula unit. The energy above the most stable polymorph in this dataset comes out at 0.0429 eV/atom.

Entry 7:
## CeMnAl2 (PBE)

Data for a geometry-optimized CeMnAl2 structure.

a = 3.0075 Å, b = 3.0075 Å, c = 7.5616 Å
α = 90.00°, β = 90.00°, γ = 90.00°
Last column: nearest neighbours and their distance in Å.
Sites, in units of the cell vectors:
Ce 0.0000 0.0000 0.0000  4 Ce 3.01, 8 Al 3.20
Mn 0.0000 0.0000 0.5000  8 Al 2.54
Al 0.5000 0.5000 0.3156  4 Mn 2.54, 1 Al 2.79
Al 0.5000 0.5000 0.6844  4 Mn 2.54, 1 Al 2.79

Values from the calculation:
The formation enthalpy at 0 K comes out at -0.2503 eV per atom. The calculation puts the total magnetization at 1.72 μB per formula unit.

Entry 8:
## Ce2MnAl3 (PBE)

Data for a geometry-optimized Ce2MnAl3 structure.

a = 5.5352 Å, b = 5.5352 Å, c = 5.5352 Å
α = 60.06°, β = 60.06°, γ = 60.06°
Last column: nearest neighbours and their distance in Å.
Sites, in units of the cell vectors:
Ce 0.1281 0.1281 0.1281  9 Al 3.21-3.27, 3 Mn 3.24, 4 Ce 3.36-3.47
Ce 0.8719 0.8719 0.8719  9 Al 3.21-3.27, 3 Mn 3.24, 4 Ce 3.36-3.47
Mn 0.5000 0.5000 0.5000  6 Al 2.77
Al 0.0000 0.5000 0.5000  2 Mn 2.77, 4 Al 2.77
Al 0.5000 0.0000 0.5000  2 Mn 2.77, 4 Al 2.77
Al 0.5000 0.5000 0.0000  2 Mn 2.77, 4 Al 2.77

Values from the calculation:
The formation enthalpy at 0 K comes out at -0.3418 eV per atom. The calculation puts the total magnetization at 1.30 μB per formula unit.

Entry 9:
## Ce2MnAl2Ru5 (PBE)

Data for a geometry-optimized Ce2MnAl2Ru5 structure.

a = 10.0739 Å, b = 10.0739 Å, c = 3.3041 Å
α = 90.00°, β = 90.00°, γ = 90.00°
Last column: nearest neighbours and their distance in Å.
Sites, in units of the cell vectors:
Ce 0.1742 0.3258 0.0000  3 Al 2.84-3.07, 6 Ru 2.98-3.05
Ce 0.3258 0.8258 0.0000  3 Al 2.84-3.07, 6 Ru 2.98-3.05
Ce 0.6742 0.1742 0.0000  3 Al 2.84-3.07, 6 Ru 2.98-3.05
Ce 0.8258 0.6742 0.0000  3 Al 2.84-3.07, 6 Ru 2.98-3.05
Mn 0.0000 0.0000 0.0000  8 Ru 2.69
Mn 0.5000 0.5000 0.0000  8 Ru 2.69
Al 0.1263 0.6263 0.0000  6 Ru 2.44-2.48
Al 0.3737 0.1263 0.0000  6 Ru 2.44-2.48
Al 0.6263 0.8737 0.0000  6 Ru 2.44-2.48
Al 0.8737 0.3737 0.0000  6 Ru 2.44-2.48
Ru 0.0000 0.5000 0.5000  4 Al 2.44
Ru 0.0722 0.8018 0.5000  2 Al 2.48, 2 Mn 2.69
Ru 0.1982 0.0722 0.5000  2 Al 2.48, 2 Mn 2.69
Ru 0.3018 0.5722 0.5000  2 Al 2.48, 2 Mn 2.69
Ru 0.4278 0.3018 0.5000  2 Al 2.48, 2 Mn 2.69
Ru 0.5000 0.0000 0.5000  4 Al 2.44
Ru 0.5722 0.6982 0.5000  2 Al 2.48, 2 Mn 2.69
Ru 0.6982 0.4278 0.5000  2 Al 2.48, 2 Mn 2.69
Ru 0.8018 0.9278 0.5000  2 Al 2.48, 2 Mn 2.69
Ru 0.9278 0.1982 0.5000  2 Al 2.48, 2 Mn 2.69

Values from the calculation:
The formation enthalpy at 0 K comes out at -0.2601 eV per atom. The calculation puts the total magnetization at 2.89 μB per formula unit.

Entry 10:
## Ce3MnAlS7 (PBE)

Data for a geometry-optimized Ce3MnAlS7 structure.

a = 10.0569 Å, b = 10.0569 Å, c = 6.0172 Å
α = 90.00°, β = 90.00°, γ = 120.00°
Last column: nearest neighbours and their distance in Å.
Sites, in units of the cell vectors:
Ce 0.1420 0.3737 0.0000  7 S 2.83-3.01
Ce 0.2317 0.8580 0.0000  7 S 2.83-3.01
Ce 0.3737 0.2317 0.5000  7 S 2.83-3.01
Ce 0.6263 0.7683 0.0000  7 S 2.83-3.01
Ce 0.7683 0.1420 0.5000  7 S 2.83-3.01
Ce 0.8580 0.6263 0.5000  7 S 2.83-3.01
Mn 0.0000 0.0000 0.2855  6 S 2.52-2.63
Mn 0.0000 0.0000 0.7855  6 S 2.52-2.63
Al 0.3333 0.6667 0.4192  4 S 2.22-2.26
Al 0.6667 0.3333 0.9192  4 S 2.22-2.26
S 0.0929 0.2377 0.5510  2 Mn 2.52-2.63
S 0.0974 0.5788 0.2705  1 Al 2.26
S 0.1448 0.9071 0.5510  2 Mn 2.52-2.63
S 0.2377 0.1448 0.0510  2 Mn 2.52-2.63
S 0.3333 0.6667 0.7888  1 Al 2.22
S 0.4212 0.5186 0.2705  1 Al 2.26
S 0.4814 0.9026 0.2705  1 Al 2.26
S 0.5186 0.0974 0.7705  1 Al 2.26
S 0.5788 0.4814 0.7705  1 Al 2.26
S 0.6667 0.3333 0.2888  1 Al 2.22
S 0.7623 0.8552 0.5510  2 Mn 2.52-2.63
S 0.8552 0.0929 0.0510  2 Mn 2.52-2.63
S 0.9026 0.4212 0.7705  1 Al 2.26
S 0.9071 0.7623 0.0510  2 Mn 2.52-2.63

Values from the calculation:
The calculation puts the total magnetization at 7.46 μB per formula unit. The calculation puts the raw formation energy at -1.581 eV/atom.

Entry 11:
## CeScMnAl (PBE)

Data for a geometry-optimized CeScMnAl structure.

a = 4.9156 Å, b = 4.9156 Å, c = 4.9156 Å
α = 60.00°, β = 60.00°, γ = 60.00°
Last column: nearest neighbours and their distance in Å.
Sites, in units of the cell vectors:
Ce 0.0000 0.0000 0.0000  4 Mn 3.01, 4 Al 3.01
Sc 0.5000 0.5000 0.5000  4 Mn 3.01, 4 Al 3.01
Mn 0.7500 0.7500 0.7500  4 Sc 3.01, 4 Ce 3.01
Al 0.2500 0.2500 0.2500  4 Sc 3.01, 4 Ce 3.01

Values from the calculation:
The formation enthalpy at 0 K comes out at -0.0658 eV per atom. The calculation puts the total magnetization at 2.22 μB per formula unit.

Entry 12:
## TbCeMnAl (PBE)

Data for a geometry-optimized TbCeMnAl structure.

a = 5.0946 Å, b = 5.0946 Å, c = 5.0946 Å
α = 60.00°, β = 60.00°, γ = 60.00°
Last column: nearest neighbours and their distance in Å.
Sites, in units of the cell vectors:
Tb 0.0000 0.0000 0.0000  4 Mn 3.12, 4 Al 3.12
Ce 0.5000 0.5000 0.5000  4 Mn 3.12, 4 Al 3.12
Mn 0.7500 0.7500 0.7500  4 Tb 3.12, 4 Ce 3.12
Al 0.2500 0.2500 0.2500  4 Ce 3.12, 4 Tb 3.12

Values from the calculation:
The formation enthalpy at 0 K comes out at -0.0158 eV per atom. The calculation puts the total magnetization at 2.32 μB per formula unit.

Entry 13:
## CeYMnAl (PBE)

Data for a geometry-optimized CeYMnAl structure.

a = 5.0954 Å, b = 5.0954 Å, c = 5.0954 Å
α = 60.00°, β = 60.00°, γ = 60.00°
Last column: nearest neighbours and their distance in Å.
Sites, in units of the cell vectors:
Ce 0.0000 0.0000 0.0000  4 Mn 3.12, 4 Al 3.12
Y 0.5000 0.5000 0.5000  4 Mn 3.12, 4 Al 3.12
Mn 0.7500 0.7500 0.7500  4 Ce 3.12, 4 Y 3.12
Al 0.2500 0.2500 0.2500  4 Ce 3.12, 4 Y 3.12

Values from the calculation:
The formation enthalpy at 0 K comes out at -0.0279 eV per atom. The calculation puts the total magnetization at 2.35 μB per formula unit.

Entry 14:
## Ce8Al2Mo (PBE)

Data for a geometry-optimized Ce8Al2Mo structure.

a = 8.3288 Å, b = 8.3288 Å, c = 7.0115 Å
α = 114.83°, β = 114.83°, γ = 38.96°
Last column: nearest neighbours and their distance in Å.
Sites, in units of the cell vectors:
Ce 0.9998 0.9998 0.2292  2 Ce 2.74
Ce 0.0002 0.0002 0.7708  2 Ce 2.74
Ce 0.1402 0.1402 0.6395  2 Ce 2.74
Ce 0.3698 0.3698 0.0781  1 Mo 2.75, 1 Ce 2.92
Ce 0.3695 0.3695 0.6611  1 Mo 2.75, 1 Ce 2.92
Ce 0.6305 0.6305 0.3389  1 Mo 2.75, 1 Ce 2.92
Ce 0.6302 0.6302 0.9219  1 Mo 2.75, 1 Ce 2.92
Ce 0.8598 0.8598 0.3605  2 Ce 2.74
Al 0.1966 0.1966 0.1966  8 Ce 3.18-3.27
Al 0.8034 0.8034 0.8034  8 Ce 3.18-3.27
Mo 0.5000 0.5000 0.5000  4 Ce 2.75

Values from the calculation:
The formation enthalpy at 0 K comes out at -0.0481 eV per atom. The calculation puts the total magnetization at 0.53 μB per formula unit.

Entry 15:
## CeAl2Mo (PBE)

Data for a geometry-optimized CeAl2Mo structure.

a = 10.1737 Å, b = 10.1737 Å, c = 10.1737 Å
α = 16.46°, β = 16.46°, γ = 16.46°
Last column: nearest neighbours and their distance in Å.
Sites, in units of the cell vectors:
Ce 0.0000 0.0000 0.0000  6 Ce 2.91
Al 0.2393 0.2393 0.2393  3 Mo 2.76, 6 Al 2.91
Al 0.7607 0.7607 0.7607  3 Mo 2.76, 6 Al 2.91
Mo 0.5000 0.5000 0.5000  6 Al 2.76, 6 Mo 2.91

Values from the calculation:
The formation enthalpy at 0 K comes out at -0.0476 eV per atom. The calculation puts the total magnetization at 0.00 μB per formula unit.

Entry 16:
## Ce2AlMo (PBE)

Data for a geometry-optimized Ce2AlMo structure.

a = 4.3156 Å, b = 4.3156 Å, c = 4.5434 Å
α = 90.00°, β = 90.00°, γ = 90.00°
Last column: nearest neighbours and their distance in Å.
Sites, in units of the cell vectors:
Ce 0.0000 0.5000 0.0000  4 Ce 3.05, 4 Mo 3.13, 4 Al 3.13
Ce 0.5000 0.0000 0.0000  4 Ce 3.05, 4 Mo 3.13, 4 Al 3.13
Al 0.0000 0.0000 0.5000  4 Mo 3.05, 8 Ce 3.13
Mo 0.5000 0.5000 0.5000  4 Al 3.05, 8 Ce 3.13

Values from the calculation:
The formation enthalpy at 0 K comes out at 0.0194 eV per atom. The calculation puts the total magnetization at 0.03 μB per formula unit. The energy above the most stable polymorph in this dataset comes out at 0.0000 eV/atom.

Entry 17:
## Ce2Al3Mo (PBE)

Data for a geometry-optimized Ce2Al3Mo structure.

a = 5.6108 Å, b = 5.6108 Å, c = 5.6108 Å
α = 58.66°, β = 58.66°, γ = 58.66°
Last column: nearest neighbours and their distance in Å.
Sites, in units of the cell vectors:
Ce 0.1311 0.1311 0.1311  3 Mo 3.21, 9 Al 3.22-3.30, 3 Ce 3.32
Ce 0.8689 0.8689 0.8689  3 Mo 3.21, 9 Al 3.22-3.30, 3 Ce 3.32
Al 0.0000 0.5000 0.5000  4 Al 2.75, 2 Mo 2.81
Al 0.5000 0.0000 0.5000  4 Al 2.75, 2 Mo 2.81
Al 0.5000 0.5000 0.0000  4 Al 2.75, 2 Mo 2.81
Mo 0.5000 0.5000 0.5000  6 Al 2.81

Values from the calculation:
The formation enthalpy at 0 K comes out at -0.3277 eV per atom. The calculation puts the total magnetization at 0.00 μB per formula unit.

Entry 18:
## CeAlMo (PBE)

Data for a geometry-optimized CeAlMo structure.

a = 6.2223 Å, b = 6.2223 Å, c = 3.7380 Å
α = 90.00°, β = 90.00°, γ = 91.45°
Last column: nearest neighbours and their distance in Å.
Sites, in units of the cell vectors:
Ce 0.2101 0.2101 0.0000  3 Mo 2.52-2.61
Ce 0.7899 0.7899 0.0000  3 Mo 2.52-2.61
Al 0.2887 0.7113 0.5000  3 Mo 2.57-2.65
Al 0.7113 0.2887 0.5000  3 Mo 2.57-2.65
Mo 0.0000 0.0000 0.5000  2 Al 2.57, 4 Ce 2.61
Mo 0.5000 0.5000 0.0000  2 Ce 2.52, 4 Al 2.65

Values from the calculation:
The formation enthalpy at 0 K comes out at 0.3224 eV per atom. The calculation puts the total magnetization at 0.00 μB per formula unit.

Entry 19:
## Ce2AlMo (PBE)

Data for a geometry-optimized Ce2AlMo structure.

a = 11.9551 Å, b = 11.9551 Å, c = 11.9551 Å
α = 13.95°, β = 13.95°, γ = 13.95°
Last column: nearest neighbours and their distance in Å.
Sites, in units of the cell vectors:
Ce 0.0892 0.0892 0.0892  6 Ce 2.90, 1 Al 3.17, 3 Mo 3.22
Ce 0.9108 0.9108 0.9108  6 Ce 2.90, 1 Al 3.17, 3 Mo 3.22
Al 0.0000 0.0000 0.0000  6 Al 2.90, 2 Ce 3.17
Mo 0.5000 0.5000 0.5000  6 Mo 2.90, 6 Ce 3.22

Values from the calculation:
The formation enthalpy at 0 K comes out at 0.3826 eV per atom. The calculation puts the total magnetization at 0.00 μB per formula unit. The energy above the most stable polymorph in this dataset comes out at 0.3632 eV/atom.

Entry 20:
## CeScAlMo (PBE)

Data for a geometry-optimized CeScAlMo structure.

a = 4.8905 Å, b = 4.8905 Å, c = 4.8905 Å
α = 60.00°, β = 60.00°, γ = 60.00°
Last column: nearest neighbours and their distance in Å.
Sites, in units of the cell vectors:
Ce 0.0000 0.0000 0.0000  4 Mo 2.99, 4 Al 2.99
Sc 0.5000 0.5000 0.5000  4 Mo 2.99, 4 Al 2.99
Al 0.7500 0.7500 0.7500  4 Ce 2.99, 4 Sc 2.99
Mo 0.2500 0.2500 0.2500  4 Ce 2.99, 4 Sc 2.99

Values from the calculation:
The formation enthalpy at 0 K comes out at -0.0322 eV per atom. The calculation puts the total magnetization at 0.00 μB per formula unit.